#i
# HfScNb2 (PBE, relaxed)
# **DOS at the Fermi energy**: 17.2 states/eV/cell
# **Density**: 8.3 g cm⁻³
data_HfScNb2
_chemical_formula_sum 'Hf3 Sc3 Nb6'
_cell_length_a 3.0734
_cell_length_b 3.0734
_cell_length_c 30.0161
_cell_angle_alpha 90.00
_cell_angle_beta 90.00
_cell_angle_gamma 120.00
_symmetry_space_group_name_H-M 'R -3 m'
_symmetry_Int_Tables_number 166
_symmetry_space_group_name_Hall '-R 3 2"'
loop_
_atom_site_label
_atom_site_fract_x
_atom_site_fract_y
_atom_site_fract_z
Hf1 0.0000 0.0000 0.0000
Sc1 0.0000 0.0000 0.5000
Nb1 0.0000 0.0000 0.2508


#ii
# HfScNb2 (PBE, relaxed)
# **DOS at the Fermi energy**: 32.8 states/eV/cell
# **Density**: 8.5 g cm⁻³
data_HfScNb2
_chemical_formula_sum 'Hf4 Sc4 Nb8'
_cell_length_a 6.8379
_cell_length_b 6.8379
_cell_length_c 6.8379
_cell_angle_alpha 90.00
_cell_angle_beta 90.00
_cell_angle_gamma 90.00
_symmetry_space_group_name_H-M 'F m -3 m'
_symmetry_Int_Tables_number 225
_symmetry_space_group_name_Hall '-F 4 2 3'
loop_
_atom_site_label
_atom_site_fract_x
_atom_site_fract_y
_atom_site_fract_z
Hf1 0.0000 0.0000 0.0000
Sc1 0.0000 0.0000 0.5000
Nb1 0.2500 0.2500 0.2500


#iii
# HfScNb2 (PBE, relaxed)
# **DOS at the Fermi energy**: 4.8 states/eV/cell
# **Density**: 8.4 g cm⁻³
data_HfScNb2
_chemical_formula_sum 'Hf1 Sc1 Nb2'
_cell_length_a 4.1365
_cell_length_b 4.1365
_cell_length_c 4.7235
_cell_angle_alpha 90.00
_cell_angle_beta 90.00
_cell_angle_gamma 90.00
_symmetry_space_group_name_H-M 'P 4/m m m'
_symmetry_Int_Tables_number 123
_symmetry_space_group_name_Hall '-P 4 2'
loop_
_atom_site_label
_atom_site_fract_x
_atom_site_fract_y
_atom_site_fract_z
Hf1 0.0000 0.0000 0.0000
Sc1 0.5000 0.5000 0.0000
Nb1 0.0000 0.5000 0.5000


What should be chosen as the most stable of them? Choose #iii.


#i
# HfScNb3 (PBE, relaxed)
# **DOS at the Fermi energy**: 7.2 states/eV/cell
# **Density**: 6.9 g cm⁻³
data_HfScNb3
_chemical_formula_sum 'Hf1 Sc1 Nb3'
_cell_length_a 4.9377
_cell_length_b 4.9377
_cell_length_c 4.9377
_cell_angle_alpha 90.00
_cell_angle_beta 90.00
_cell_angle_gamma 90.00
_symmetry_space_group_name_H-M 'P m -3 m'
_symmetry_Int_Tables_number 221
_symmetry_space_group_name_Hall '-P 4 2 3'
loop_
_atom_site_label
_atom_site_fract_x
_atom_site_fract_y
_atom_site_fract_z
Hf1 0.0000 0.0000 0.0000
Sc1 0.5000 0.5000 0.5000
Nb1 0.0000 0.0000 0.5000


#ii
# HfScNb3 (PBE, relaxed)
# **DOS at the Fermi energy**: 7.4 states/eV/cell
# **Density**: 7.7 g cm⁻³
data_HfScNb3
_chemical_formula_sum 'Hf1 Sc1 Nb3'
_cell_length_a 4.7668
_cell_length_b 4.7668
_cell_length_c 4.7668
_cell_angle_alpha 90.00
_cell_angle_beta 90.00
_cell_angle_gamma 90.00
_symmetry_space_group_name_H-M 'P m -3 m'
_symmetry_Int_Tables_number 221
_symmetry_space_group_name_Hall '-P 4 2 3'
loop_
_atom_site_label
_atom_site_fract_x
_atom_site_fract_y
_atom_site_fract_z
Hf1 0.0000 0.0000 0.0000
Sc1 0.5000 0.5000 0.5000
Nb1 0.0000 0.5000 0.5000


What should be chosen as the most stable of them? Choose #i.


#i
# Hf3ScNb (PBE, relaxed)
# **DOS at the Fermi energy**: 8.9 states/eV/cell
# **Density**: 8.5 g cm⁻³
data_Hf3ScNb
_chemical_formula_sum 'Hf3 Sc1 Nb1'
_cell_length_a 5.0810
_cell_length_b 5.0810
_cell_length_c 5.0810
_cell_angle_alpha 90.00
_cell_angle_beta 90.00
_cell_angle_gamma 90.00
_symmetry_space_group_name_H-M 'P m -3 m'
_symmetry_Int_Tables_number 221
_symmetry_space_group_name_Hall '-P 4 2 3'
loop_
_atom_site_label
_atom_site_fract_x
_atom_site_fract_y
_atom_site_fract_z
Hf1 0.0000 0.0000 0.5000
Sc1 0.5000 0.5000 0.5000
Nb1 0.0000 0.0000 0.0000


#ii
# Hf3ScNb (PBE, relaxed)
# **DOS at the Fermi energy**: 28.4 states/eV/cell
# **Density**: 10.3 g cm⁻³
data_Hf3ScNb
_chemical_formula_sum 'Hf12 Sc4 Nb4'
_cell_length_a 14.6831
_cell_length_b 3.0830
_cell_length_c 10.6103
_cell_angle_alpha 90.00
_cell_angle_beta 115.13
_cell_angle_gamma 90.00
_symmetry_space_group_name_H-M 'C 1 2/m 1'
_symmetry_Int_Tables_number 12
loop_
_symmetry_equiv_pos_as_xyz
'x,y,z'
'-x,-y,-z'
'-x,y,-z'
'x,-y,z'
'x+1/2,y+1/2,z'
'-x+1/2,-y+1/2,-z'
'-x+1/2,y+1/2,-z'
'x+1/2,-y+1/2,z'
loop_
_atom_site_label
_atom_site_fract_x
_atom_site_fract_y
_atom_site_fract_z
Hf1 0.0693 0.0000 0.4401
Hf2 0.1226 0.5000 0.7414
Hf3 0.1755 0.5000 0.0472
Sc1 0.2118 0.5000 0.3449
Nb1 0.0208 0.0000 0.1417


What should be chosen as the most stable of them? Choose #ii.


#i
# Hf2Sc2Nb (PBE, relaxed)
# **DOS at the Fermi energy**: 11.0 states/eV/cell
# **Density**: 7.8 g cm⁻³
data_Hf2Sc2Nb
_chemical_formula_sum 'Hf4 Sc4 Nb2'
_cell_length_a 7.1453
_cell_length_b 7.1453
_cell_length_c 4.4940
_cell_angle_alpha 90.00
_cell_angle_beta 90.00
_cell_angle_gamma 90.00
_symmetry_space_group_name_H-M 'P 4/m b m'
_symmetry_Int_Tables_number 127
_symmetry_space_group_name_Hall '-P 4 2ab'
loop_
_atom_site_label
_atom_site_fract_x
_atom_site_fract_y
_atom_site_fract_z
Hf1 0.1453 0.3547 0.0000
Sc1 0.1592 0.6592 0.5000
Nb1 0.0000 0.0000 0.0000


#ii
# Hf2Sc2Nb (PBE, relaxed)
# **DOS at the Fermi energy**: 8.8 states/eV/cell
# **Density**: 7.8 g cm⁻³
data_Hf2Sc2Nb
_chemical_formula_sum 'Hf4 Sc4 Nb2'
_cell_length_a 3.9801
_cell_length_b 3.9801
_cell_length_c 14.4227
_cell_angle_alpha 90.00
_cell_angle_beta 90.00
_cell_angle_gamma 90.00
_symmetry_space_group_name_H-M 'I 4/m m m'
_symmetry_Int_Tables_number 139
_symmetry_space_group_name_Hall '-I 4 2'
loop_
_atom_site_label
_atom_site_fract_x
_atom_site_fract_y
_atom_site_fract_z
Hf1 0.0000 0.5000 0.2500
Sc1 0.0000 0.0000 0.0911
Nb1 0.0000 0.0000 0.5000


What should be chosen as the most stable of them? Choose #i.


#i
# HfNb3Se (PBE, relaxed)
# **DOS at the Fermi energy**: 5.1 states/eV/cell
# **Density**: 8.3 g cm⁻³
data_HfNb3Se
_chemical_formula_sum 'Hf1 Nb3 Se1'
_cell_length_a 4.7541
_cell_length_b 4.7541
_cell_length_c 4.7541
_cell_angle_alpha 90.00
_cell_angle_beta 90.00
_cell_angle_gamma 90.00
_symmetry_space_group_name_H-M 'P m -3 m'
_symmetry_Int_Tables_number 221
_symmetry_space_group_name_Hall '-P 4 2 3'
loop_
_atom_site_label
_atom_site_fract_x
_atom_site_fract_y
_atom_site_fract_z
Hf1 0.0000 0.0000 0.0000
Nb1 0.0000 0.5000 0.5000
Se1 0.5000 0.5000 0.5000


#ii
# HfNb3Se (PBE, relaxed)
# **DOS at the Fermi energy**: 6.4 states/eV/cell
# **Density**: 7.3 g cm⁻³
data_HfNb3Se
_chemical_formula_sum 'Hf1 Nb3 Se1'
_cell_length_a 4.9509
_cell_length_b 4.9509
_cell_length_c 4.9509
_cell_angle_alpha 90.00
_cell_angle_beta 90.00
_cell_angle_gamma 90.00
_symmetry_space_group_name_H-M 'P m -3 m'
_symmetry_Int_Tables_number 221
_symmetry_space_group_name_Hall '-P 4 2 3'
loop_
_atom_site_label
_atom_site_fract_x
_atom_site_fract_y
_atom_site_fract_z
Hf1 0.0000 0.0000 0.0000
Nb1 0.0000 0.0000 0.5000
Se1 0.5000 0.5000 0.5000


What should be chosen as the most stable of them? Choose #i.


#i
# HfNbSe2 (PBE, relaxed)
# **DOS at the Fermi energy**: 16.3 states/eV/cell
# **Density**: 8.4 g cm⁻³
data_HfNbSe2
_chemical_formula_sum 'Hf3 Nb3 Se6'
_cell_length_a 3.3156
_cell_length_b 3.3156
_cell_length_c 26.8416
_cell_angle_alpha 90.00
_cell_angle_beta 90.00
_cell_angle_gamma 120.00
_symmetry_space_group_name_H-M 'R -3 m'
_symmetry_Int_Tables_number 166
_symmetry_space_group_name_Hall '-R 3 2"'
loop_
_atom_site_label
_atom_site_fract_x
_atom_site_fract_y
_atom_site_fract_z
Hf1 0.0000 0.0000 0.0000
Nb1 0.0000 0.0000 0.5000
Se1 0.0000 0.0000 0.0998


#ii
# HfNbSe2 (PBE, relaxed)
# **DOS at the Fermi energy**: 20.9 states/eV/cell
# **Density**: 10.0 g cm⁻³
data_HfNbSe2
_chemical_formula_sum 'Hf4 Nb4 Se8'
_cell_length_a 6.5766
_cell_length_b 6.5766
_cell_length_c 6.5766
_cell_angle_alpha 90.00
_cell_angle_beta 90.00
_cell_angle_gamma 90.00
_symmetry_space_group_name_H-M 'F m -3 m'
_symmetry_Int_Tables_number 225
_symmetry_space_group_name_Hall '-F 4 2 3'
loop_
_atom_site_label
_atom_site_fract_x
_atom_site_fract_y
_atom_site_fract_z
Hf1 0.0000 0.0000 0.0000
Nb1 0.0000 0.0000 0.5000
Se1 0.2500 0.2500 0.2500


#iii
# HfNbSe2 (PBE, relaxed)
# **DOS at the Fermi energy**: 13.4 states/eV/cell
# **Density**: 7.9 g cm⁻³
data_HfNbSe2
_chemical_formula_sum 'Hf4 Nb4 Se8'
_cell_length_a 4.7395
_cell_length_b 4.7395
_cell_length_c 16.1347
_cell_angle_alpha 90.00
_cell_angle_beta 90.00
_cell_angle_gamma 90.00
_symmetry_space_group_name_H-M 'I -4 2 d'
_symmetry_Int_Tables_number 122
_symmetry_space_group_name_Hall 'I -4 2bw'
loop_
_atom_site_label
_atom_site_fract_x
_atom_site_fract_y
_atom_site_fract_z
Hf1 0.0000 0.0000 0.0000
Nb1 0.0000 0.0000 0.5000
Se1 0.2325 0.2500 0.6250


What should be chosen as the most stable of them? Choose #ii.


#i
# HfNbSi2 (PBE, relaxed)
# **DOS at the Fermi energy**: 3.2 states/eV/cell
# **Density**: 8.3 g cm⁻³
data_HfNbSi2
_chemical_formula_sum 'Hf2 Nb2 Si4'
_cell_length_a 3.7625
_cell_length_b 5.1479
_cell_length_c 6.7436
_cell_angle_alpha 90.00
_cell_angle_beta 90.00
_cell_angle_gamma 90.00
_symmetry_space_group_name_H-M 'P m c 21'
_symmetry_Int_Tables_number 26
loop_
_symmetry_equiv_pos_as_xyz
'x,y,z'
'-x,-y,z+1/2'
'-x,y,z'
'x,-y,z+1/2'
loop_
_atom_site_label
_atom_site_fract_x
_atom_site_fract_y
_atom_site_fract_z
Hf1 0.0000 0.1220 0.0000
Nb1 0.5000 0.3697 0.6491
Si1 0.0000 0.3903 0.3683
Si2 0.5000 0.1154 0.2813


#ii
# HfNbSi2 (PBE, relaxed)
# **DOS at the Fermi energy**: 11.4 states/eV/cell
# **Density**: 7.9 g cm⁻³
data_HfNbSi2
_chemical_formula_sum 'Hf3 Nb3 Si6'
_cell_length_a 4.2430
_cell_length_b 4.2430
_cell_length_c 13.1752
_cell_angle_alpha 90.00
_cell_angle_beta 90.00
_cell_angle_gamma 120.00
_symmetry_space_group_name_H-M 'R -3 m'
_symmetry_Int_Tables_number 166
_symmetry_space_group_name_Hall '-R 3 2"'
loop_
_atom_site_label
_atom_site_fract_x
_atom_site_fract_y
_atom_site_fract_z
Hf1 0.0000 0.0000 0.0000
Nb1 0.0000 0.0000 0.5000
Si1 0.0000 0.0000 0.2379


#iii
# HfNbSi2 (PBE, relaxed)
# **DOS at the Fermi energy**: 11.7 states/eV/cell
# **Density**: 8.2 g cm⁻³
data_HfNbSi2
_chemical_formula_sum 'Hf4 Nb4 Si8'
_cell_length_a 6.4349
_cell_length_b 6.4349
_cell_length_c 6.4349
_cell_angle_alpha 90.00
_cell_angle_beta 90.00
_cell_angle_gamma 90.00
_symmetry_space_group_name_H-M 'F m -3 m'
_symmetry_Int_Tables_number 225
_symmetry_space_group_name_Hall '-F 4 2 3'
loop_
_atom_site_label
_atom_site_fract_x
_atom_site_fract_y
_atom_site_fract_z
Hf1 0.0000 0.0000 0.0000
Nb1 0.0000 0.0000 0.5000
Si1 0.2500 0.2500 0.2500


What should be chosen as the most stable of them? Choose #i.


#i
# HfNb2Sn2 (PBE, relaxed)
# **DOS at the Fermi energy**: 7.9 states/eV/cell
# **Density**: 9.4 g cm⁻³
data_HfNb2Sn2
_chemical_formula_sum 'Hf2 Nb4 Sn4'
_cell_length_a 8.2647
_cell_length_b 8.2647
_cell_length_c 3.1039
_cell_angle_alpha 90.00
_cell_angle_beta 90.00
_cell_angle_gamma 90.00
_symmetry_space_group_name_H-M 'P 4/m b m'
_symmetry_Int_Tables_number 127
_symmetry_space_group_name_Hall '-P 4 2ab'
loop_
_atom_site_label
_atom_site_fract_x
_atom_site_fract_y
_atom_site_fract_z
Hf1 0.0000 0.0000 0.0000
Nb1 0.1176 0.3824 0.0000
Sn1 0.1786 0.6786 0.5000


#ii
# HfNb2Sn2 (PBE, relaxed)
# **DOS at the Fermi energy**: 5.0 states/eV/cell
# **Density**: 9.2 g cm⁻³
data_HfNb2Sn2
_chemical_formula_sum 'Hf2 Nb4 Sn4'
_cell_length_a 5.7000
_cell_length_b 5.6993
_cell_length_c 7.2489
_cell_angle_alpha 90.00
_cell_angle_beta 113.02
_cell_angle_gamma 90.00
_symmetry_space_group_name_H-M 'C 1 2/m 1'
_symmetry_Int_Tables_number 12
loop_
_symmetry_equiv_pos_as_xyz
'x,y,z'
'-x,-y,-z'
'-x,y,-z'
'x,-y,z'
'x+1/2,y+1/2,z'
'-x+1/2,-y+1/2,-z'
'-x+1/2,y+1/2,-z'
'x+1/2,-y+1/2,z'
loop_
_atom_site_label
_atom_site_fract_x
_atom_site_fract_y
_atom_site_fract_z
Hf1 0.0000 0.0000 0.0000
Nb1 0.0000 0.2496 0.5000
Sn1 0.1011 0.5000 0.2022


#iii
# HfNb2Sn2 (PBE, relaxed)
# **DOS at the Fermi energy**: 2.4 states/eV/cell
# **Density**: 9.7 g cm⁻³
data_HfNb2Sn2
_chemical_formula_sum 'Hf2 Nb4 Sn4'
_cell_length_a 7.4845
_cell_length_b 7.4845
_cell_length_c 3.6875
_cell_angle_alpha 90.00
_cell_angle_beta 90.00
_cell_angle_gamma 90.00
_symmetry_space_group_name_H-M 'P 4/m b m'
_symmetry_Int_Tables_number 127
_symmetry_space_group_name_Hall '-P 4 2ab'
loop_
_atom_site_label
_atom_site_fract_x
_atom_site_fract_y
_atom_site_fract_z
Hf1 0.0000 0.0000 0.0000
Nb1 0.1644 0.3356 0.5000
Sn1 0.1363 0.6363 0.0000


What should be chosen as the most stable of them? Choose #iii.